LaY2In3AgPd2 | PBE | relaxed

The calculation puts the final energy at -5.051 eV per atom.

The space group is Amm2 (No. 38) and the conventional cell measures 3.8716, 13.6409 and 7.8989 Å, with angles of 90.00, 90.00 and 90.00 degrees. The asymmetric unit holds La at (0.0000, 0.0000, 0.0000), Y at (0.0000, 0.2043, 0.6156), In at (0.5000, 0.0000, 0.6718), In at (0.5000, 0.1358, 0.2808), Ag at (0.0000, 0.0000, 0.4134) and Pd at (0.5000, 0.1687, 0.9108).